Entry from Alexandria: NaLiAs4 after structural relaxation (PBE-GGA).

Results
- energy relative to the elements (eV/atom) = -0.178
- symmetry = C2/c (15)
- M_tot (μB per formula unit) = 0.000

Cell: 8.1597 8.1597 5.8713 Å, 107.73 107.73 116.49°
Atoms (fractional coordinates):
Na 0.2090 0.7910 0.7500
Na 0.7910 0.2090 0.2500
Li 0.4706 0.5294 0.7500
Li 0.5294 0.4706 0.2500
As 0.0464 0.2645 0.7887
As 0.2234 0.5181 0.2800
As 0.2645 0.0464 0.2887
As 0.4819 0.7766 0.2200
As 0.5181 0.2234 0.7800
As 0.7355 0.9536 0.7113
As 0.7766 0.4819 0.7200
As 0.9536 0.7355 0.2113